# VH10C2S2O12F6

A geometry-optimized VH10C2S2O12F6 structure (PBE with a Hubbard U, Alexandria via LeMat-Bulk).

Output
D(E_F) (states/eV per atom): 0.00
Electronic total energy (eV/atom): -5.498
SG: P2_1/m (11)

a = 9.836 Å, b = 7.852 Å, c = 10.738 Å
α = 90.00°, β = 99.62°, γ = 90.00°
Positions (direct):
1 V 0.183 0.250 0.033
2 V 0.817 0.750 0.967
3 H 0.077 0.069 0.205
4 H 0.077 0.431 0.205
5 H 0.193 0.008 0.862
6 H 0.193 0.492 0.862
7 H 0.193 0.550 0.157
8 H 0.193 0.950 0.157
9 H 0.348 0.077 0.899
10 H 0.348 0.423 0.899
11 H 0.453 0.148 0.155
12 H 0.453 0.352 0.155
13 H 0.547 0.648 0.845
14 H 0.547 0.852 0.845
15 H 0.652 0.577 0.101
16 H 0.652 0.923 0.101
17 H 0.807 0.050 0.843
18 H 0.807 0.450 0.843
19 H 0.807 0.508 0.138
20 H 0.807 0.992 0.138
21 H 0.923 0.569 0.795
22 H 0.923 0.931 0.795
23 C 0.083 0.750 0.529
24 C 0.473 0.750 0.375
25 C 0.527 0.250 0.625
26 C 0.917 0.250 0.471
27 S 0.142 0.750 0.704
28 S 0.438 0.750 0.198
29 S 0.562 0.250 0.802
30 S 0.858 0.250 0.296
31 O 0.028 0.250 0.952
32 O 0.080 0.593 0.746
33 O 0.080 0.907 0.746
34 O 0.164 0.069 0.168
35 O 0.164 0.431 0.168
36 O 0.259 0.059 0.931
37 O 0.259 0.441 0.931
38 O 0.287 0.750 0.166
39 O 0.291 0.750 0.722
40 O 0.406 0.250 0.117
41 O 0.497 0.093 0.837
42 O 0.497 0.407 0.837
43 O 0.503 0.593 0.163
44 O 0.503 0.907 0.163
45 O 0.594 0.750 0.883
46 O 0.709 0.250 0.278
47 O 0.713 0.250 0.834
48 O 0.741 0.559 0.069
49 O 0.741 0.941 0.069
50 O 0.836 0.569 0.832
51 O 0.836 0.931 0.832
52 O 0.920 0.093 0.254
53 O 0.920 0.407 0.254
54 O 0.972 0.750 0.048
55 F 0.057 0.250 0.498
56 F 0.131 0.610 0.477
57 F 0.131 0.890 0.477
58 F 0.390 0.250 0.583
59 F 0.416 0.610 0.418
60 F 0.416 0.890 0.418
61 F 0.584 0.110 0.582
62 F 0.584 0.390 0.582
63 F 0.610 0.750 0.417
64 F 0.869 0.110 0.523
65 F 0.869 0.390 0.523
66 F 0.943 0.750 0.502